First-principles (PBE) data for CaYCd17 after structural relaxation, as listed in Alexandria via LeMat-Bulk.

abc: 7.700 7.700 7.700
angles: 81.95 81.95 81.95
Atoms (fractional coordinates):
Ca: 0.666 0.666 0.666
Y: 0.326 0.326 0.326
Cd: 0.302 0.001 0.695
Cd: 0.695 0.302 0.001
Cd: 0.001 0.695 0.302
Cd: 0.302 0.695 0.001
Cd: 0.001 0.302 0.695
Cd: 0.695 0.001 0.302
Cd: 0.345 0.875 0.345
Cd: 0.345 0.345 0.875
Cd: 0.875 0.345 0.345
Cd: 0.622 0.208 0.622
Cd: 0.622 0.622 0.208
Cd: 0.208 0.622 0.622
Cd: 0.979 0.524 0.979
Cd: 0.979 0.979 0.524
Cd: 0.524 0.979 0.979
Cd: 0.908 0.908 0.908
Cd: 0.104 0.104 0.104

Properties
ΔH_f (0 K): -0.1208 eV/atom
Calculated total energy: -26.32 eV/cell

***

First-principles (PBE) data for Ca2YCd2 after structural relaxation, as listed in Alexandria via LeMat-Bulk.

abc: 4.737 4.737 7.738
angles: 72.18 72.18 90.00
Atoms (fractional coordinates):
Y: 0.000 0.000 0.000
Ca: 0.750 0.250 0.500
Ca: 0.250 0.750 0.500
Cd: 0.403 0.403 0.195
Cd: 0.597 0.597 0.805

Properties
ΔH_f (0 K): -0.0307 eV/atom
ΔE to the lowest computed polymorph: 209.5 meV/atom
Calculated total energy: -12.45 eV/cell

***

First-principles (PBE) data for CaY2Cd after structural relaxation, as listed in Alexandria via LeMat-Bulk.

abc: 6.824 6.824 5.540
angles: 66.08 66.08 32.09
Atoms (fractional coordinates):
Y: 0.966 0.966 0.034
Y: 0.534 0.534 0.466
Ca: 0.750 0.750 0.750
Cd: 0.250 0.250 0.250

Properties
ΔH_f (0 K): -0.1222 eV/atom
Calculated total energy: -16.33 eV/cell

***

Look up the calculated total energy of the second one.
-12.45 eV/cell